(1)
Density functional theory data (PBE) for Pm2Tm3Zn3 after structural relaxation.

Cell and atoms, written as extended XYZ:
```
8
Lattice="3.5729 0.0000 -0.5754 -0.1915 4.9460 -1.1894 -0.0224 0.0826 11.2409" Properties=species:S:1:pos:R:3 pbc="T T T"
Pm 0.8148 3.8680 5.0596
Pm 2.5441 1.1606 4.4166
Tm 1.2856 1.9694 7.9825
Tm 2.0733 3.0592 1.4937
Tm 1.7864 0.0000 -0.2877
Zn 2.9897 4.4630 7.1837
Zn -0.0958 2.4730 -0.5947
Zn 0.3692 0.5656 2.2924
```

## Properties
ΔE_f	-232	meV per atom
SG	Immm
energy	-28.595	eV per formula unit

(2)
Density functional theory data (PBE) for Nd2CoIr after structural relaxation.

Cell and atoms, written as extended XYZ:
```
8
Lattice="4.1111 0.0000 0.0000 0.0000 5.3515 -2.0999 0.0000 0.0261 8.3288" Properties=species:S:1:pos:R:3 pbc="T T T"
Nd 3.0833 1.1214 3.1077
Nd 1.0278 4.2562 3.1212
Nd 1.0278 4.2284 -1.0676
Nd 3.0833 1.1493 7.2965
Co 3.0833 3.3612 1.0402
Co 1.0278 2.0165 5.1887
Ir 1.0278 2.0116 1.0433
Ir 3.0833 3.3660 5.1855
```

## Properties
ΔE_f	-367	meV per atom
SG	P2_1/m
energy	-26.972	eV per formula unit

(3)
Density functional theory data (PBE) for Y6GaSe5 after structural relaxation.

Cell and atoms, written as extended XYZ:
```
12
Lattice="7.0417 0.1669 1.0672 1.7235 5.9827 3.4864 0.1156 0.0710 7.1234" Properties=species:S:1:pos:R:3 pbc="T T T"
Y 5.5045 0.6316 3.3955
Y 2.7774 3.6265 4.6430
Y 2.1361 1.4896 1.1048
Y 6.6291 4.6601 3.4488
Y 6.1034 2.5942 7.0340
Y 3.3763 5.5891 8.2815
Se 3.8901 1.1473 5.8279
Se 0.6136 2.0203 3.5322
Se 4.3826 3.0748 2.2768
Se 1.2254 4.0334 7.0776
Se 4.9907 5.0733 5.8491
Ga 0.0000 0.0000 0.0000
```

## Properties
formation energy without anion corrections	-1627.4	meV per atom
SG	C2/m
energy	-78.763	eV per formula unit

(4)
Density functional theory data (PBE) for TlAgC after structural relaxation.

Cell and atoms, written as extended XYZ:
```
6
Lattice="5.1365 0.0000 0.0000 0.0000 5.1365 0.0000 0.0000 0.0000 4.2803" Properties=species:S:1:pos:R:3 pbc="T T T"
Tl 0.0000 0.0000 2.1402
Tl 2.5682 2.5682 2.1402
C 0.0000 2.5682 2.1415
C 2.5682 0.0000 2.1388
Ag 0.0000 2.5682 0.0012
Ag 2.5682 0.0000 4.2791
```

## Properties
ΔE_f	1301	meV per atom
SG	P4/mmm
energy	-10.539	eV per formula unit

(5)
Density functional theory data (PBE) for TiFe2AgC after structural relaxation.

Cell and atoms, written as extended XYZ:
```
5
Lattice="-1.3123 1.2401 3.4913 1.5541 -3.4798 1.8202 3.4111 1.8503 0.6249" Properties=species:S:1:pos:R:3 pbc="T T T"
C 0.0000 0.0000 0.0000
Fe 1.7055 0.9252 0.3125
Fe -0.6562 0.6201 1.7457
Ag 0.7771 -1.7399 0.9101
Ti 1.8264 -0.1947 2.9682
```

## Properties
ΔE_f	368	meV per atom
SG	P4/mmm
energy	-35.056	eV per formula unit

(6)
Density functional theory data (PBE) for BaTaTeO6 after structural relaxation.

Cell and atoms, written as extended XYZ:
```
18
Lattice="-3.7343 3.9247 0.9519 2.6192 -2.3831 4.2090 8.2502 7.9970 -0.6061" Properties=species:S:1:pos:R:3 pbc="T T T"
Ba 0.0000 0.0000 0.0000
Ba 4.1251 3.9985 -0.3031
Ta 0.4461 3.8214 1.8861
Ta 6.6890 5.7172 2.6687
Te 2.5639 1.7187 2.9718
Te 4.5712 7.8199 1.5830
O 0.5474 2.1536 3.0183
O -1.4428 4.1680 2.5071
O 6.5032 4.3731 4.1628
O 8.5778 5.3706 2.0476
O 2.4239 3.4249 1.8197
O 0.7479 5.2635 3.2654
O 7.3670 6.7860 4.2409
O 0.6319 5.1655 0.3920
O 6.3872 4.2751 1.2894
O -0.2319 2.7526 0.3139
O 4.7111 6.1137 2.7350
O 6.5877 7.3850 1.5365
```

## Properties
formation energy without anion corrections	-2201.9	meV per atom
SG	P-31c
energy	-66.483	eV per formula unit

(7)
Density functional theory data (PBE) for PrNdTmTl after structural relaxation.

Cell and atoms, written as extended XYZ:
```
4
Lattice="-3.0274 1.6764 -3.6440 3.0046 -1.9054 -3.3727 -2.5125 -4.2202 0.1459" Properties=species:S:1:pos:R:3 pbc="T T T"
Pr -2.7699 -1.2719 -1.7491
Nd -0.0114 -0.1145 -3.5084
Tm 0.2460 -3.0628 -1.6134
Tl 0.0000 0.0000 0.0000
```

## Properties
ΔE_f	-190	meV per atom
SG	Pmmm
energy	-17.144	eV per formula unit

(8)
Density functional theory data (PBE) for RbSmSn4 after structural relaxation.

Cell and atoms, written as extended XYZ:
```
6
Lattice="6.3543 0.0000 0.0000 3.1771 5.5030 0.0000 3.1771 1.8343 5.1883" Properties=species:S:1:pos:R:3 pbc="T T T"
Rb 3.1771 1.8343 1.2971
Sn 6.3543 3.6687 0.6300
Sn 6.3543 1.8168 3.2488
Sn 7.9580 4.5946 3.2488
Sn 4.7506 4.5946 3.2488
Sm 0.0000 0.0000 0.0000
```

## Properties
ΔE_f	-231	meV per atom
SG	F-43m
energy	-23.081	eV per formula unit

> Among the records above, which one has the highest energy?

TlAgC

Copy entry 3 word for word.
Density functional theory data (PBE) for Y6GaSe5 after structural relaxation.

Cell and atoms, written as extended XYZ:
```
12
Lattice="7.0417 0.1669 1.0672 1.7235 5.9827 3.4864 0.1156 0.0710 7.1234" Properties=species:S:1:pos:R:3 pbc="T T T"
Y 5.5045 0.6316 3.3955
Y 2.7774 3.6265 4.6430
Y 2.1361 1.4896 1.1048
Y 6.6291 4.6601 3.4488
Y 6.1034 2.5942 7.0340
Y 3.3763 5.5891 8.2815
Se 3.8901 1.1473 5.8279
Se 0.6136 2.0203 3.5322
Se 4.3826 3.0748 2.2768
Se 1.2254 4.0334 7.0776
Se 4.9907 5.0733 5.8491
Ga 0.0000 0.0000 0.0000
```

## Properties
formation energy without anion corrections	-1627.4	meV per atom
SG	C2/m
energy	-78.763	eV per formula unit

> Which of these has the lowest energy?

Y6GaSe5